Na2GeBr4 | GGA-PBE | optimized geometry

The structure in POSCAR format:
```
Na2GeBr4
1.0
5.502 0.000 0.000
0.000 5.502 0.000
2.751 2.751 7.624
Br Ge Na
4 1 2
direct
0.819 0.819 0.361 Br
0.000 0.500 0.000 Br
0.500 0.000 0.000 Br
0.181 0.181 0.639 Br
0.000 0.000 0.000 Ge
0.635 0.635 0.729 Na
0.365 0.365 0.271 Na
```

Total magnetic moment ... 0.00 Bohr magnetons per cell
Symmetry ... No. 139
Energy above the lowest structure with this stoichiometry ... 0.77 eV/f.u.
E_form (uncorrected) ... -1.01 eV per atom